No. 1
Here is an optimized crystal structure of AcTb3Cl from Alexandria. Energies are from PBE.

It has space group Pm-3m (No. 221), with a = 5.4172 Å, b = 5.4172 Å, c = 5.4172 Å, α = 90.00°, β = 90.00° and γ = 90.00°. The inequivalent atoms are Ac at (0.0000, 0.0000, 0.0000), Tb at (0.0000, 0.5000, 0.5000) and Cl at (0.5000, 0.5000, 0.5000).

The energy relative to the elements, uncorrected comes out at -0.47 eV per atom. For the density of states at the Fermi level, the calculation gives 4.530 states/eV/f.u.


No. 2
Here is an optimized crystal structure of LaPr2SmEr2 from Alexandria. Energies are from PBE.

It has space group Pnnm (No. 58), with a = 7.1083 Å, b = 9.9909 Å, c = 5.7565 Å, α = 90.00°, β = 90.00° and γ = 90.00°. The inequivalent atoms are La at (0.0000, 0.0000, 0.0000), Pr at (0.2479, 0.3329, 0.0000), Sm at (0.0000, 0.5000, 0.5000) and Er at (0.2499, 0.1662, 0.5000).

For the density of states at the Fermi level, the calculation gives 9.546 states/eV/f.u. The formation energy comes out at 0.06 eV per atom.


No. 3
Here is an optimized crystal structure of NaTaSnAu2 from Alexandria. Energies are from PBE.

It has space group P4/mmm (No. 123), with a = 5.1839 Å, b = 5.1839 Å, c = 5.2611 Å, α = 90.00°, β = 90.00° and γ = 90.00°. The inequivalent atoms are Na at (0.0000, 0.0000, 0.0000), Ta at (0.5000, 0.5000, 0.0000), Sn at (0.5000, 0.5000, 0.5000) and Au at (0.0000, 0.5000, 0.5000).

For the density of states at the Fermi level, the calculation gives 4.263 states/eV/f.u. The formation energy comes out at 0.95 eV per atom.